#one
VASP calculation (PBE) on crystalline GaSnBr at its relaxed geometry. Values from VASP.

```
&SYSTEM
  ibrav = 0, nat = 12, ntyp = 3
/
ATOMIC_SPECIES
Ga 69.72 Ga.upf
Sn 118.71 Sn.upf
Br 79.90 Br.upf
CELL_PARAMETERS angstrom
9.485 0.000 0.000
0.000 8.946 0.000
-2.723 0.000 4.476
ATOMIC_POSITIONS crystal
Ga 0.000 0.167 0.000
Ga 0.000 0.833 0.500
Ga 0.500 0.333 0.500
Ga 0.500 0.667 0.000
Sn 0.320 0.078 0.283
Sn 0.320 0.922 0.783
Sn 0.820 0.422 0.783
Sn 0.820 0.578 0.283
Br 0.375 0.378 0.846
Br 0.375 0.622 0.346
Br 0.875 0.122 0.346
Br 0.875 0.878 0.846
```

## Properties
symmetry: Cc (9)
D(E_F): 0.69 states/eV per cell
crystal system: monoclinic



#two
VASP calculation (PBE) on crystalline GaSnBr at its relaxed geometry. Values from VASP.

```
&SYSTEM
  ibrav = 0, nat = 12, ntyp = 3
/
ATOMIC_SPECIES
Ga 69.72 Ga.upf
Sn 118.71 Sn.upf
Br 79.90 Br.upf
CELL_PARAMETERS angstrom
6.641 0.000 0.000
0.000 3.836 0.000
-2.264 0.000 13.791
ATOMIC_POSITIONS crystal
Ga 0.250 0.000 0.245
Ga 0.250 0.500 0.755
Ga 0.750 0.000 0.755
Ga 0.750 0.500 0.245
Sn 0.140 0.000 0.922
Sn 0.360 0.500 0.078
Sn 0.640 0.500 0.922
Sn 0.860 0.000 0.078
Br 0.125 0.500 0.366
Br 0.375 0.000 0.634
Br 0.625 0.000 0.366
Br 0.875 0.500 0.634
```

## Properties
symmetry: C2/m (12)
D(E_F): 4.51 states/eV per cell
crystal system: monoclinic



Most stable structure, least stable structure: #one, #two.



#one
VASP calculation (PBE) on crystalline GaSnBr at its relaxed geometry. Values from VASP.

```
&SYSTEM
  ibrav = 0, nat = 6, ntyp = 3
/
ATOMIC_SPECIES
Ga 69.72 Ga.upf
Sn 118.71 Sn.upf
Br 79.90 Br.upf
CELL_PARAMETERS angstrom
4.633 0.000 0.000
2.305 6.415 0.000
2.315 2.472 6.046
ATOMIC_POSITIONS crystal
Ga 0.000 0.000 0.000
Ga 0.098 0.595 0.041
Sn 0.720 0.434 0.959
Sn 0.970 0.509 0.490
Br 0.284 0.858 0.356
Br 0.488 0.157 0.641
```

## Properties
symmetry: P1 (1)
D(E_F): 0.19 states/eV per cell
crystal system: triclinic



#two
VASP calculation (PBE) on crystalline GaSnBr at its relaxed geometry. Values from VASP.

```
&SYSTEM
  ibrav = 0, nat = 12, ntyp = 3
/
ATOMIC_SPECIES
Ga 69.72 Ga.upf
Sn 118.71 Sn.upf
Br 79.90 Br.upf
CELL_PARAMETERS angstrom
4.688 0.000 0.000
0.000 7.020 0.000
0.000 0.000 11.070
ATOMIC_POSITIONS crystal
Ga 0.132 0.000 0.250
Ga 0.368 0.000 0.750
Ga 0.632 0.500 0.750
Ga 0.868 0.500 0.250
Sn 0.000 0.250 0.073
Sn 0.000 0.750 0.427
Sn 0.500 0.250 0.927
Sn 0.500 0.750 0.573
Br 0.000 0.250 0.649
Br 0.000 0.750 0.851
Br 0.500 0.250 0.351
Br 0.500 0.750 0.149
```

## Properties
symmetry: I2_12_12_1 (24)
D(E_F): 0.38 states/eV per cell
crystal system: orthorhombic



#three
VASP calculation (PBE) on crystalline GaSnBr at its relaxed geometry. Values from VASP.

```
&SYSTEM
  ibrav = 0, nat = 12, ntyp = 3
/
ATOMIC_SPECIES
Ga 69.72 Ga.upf
Sn 118.71 Sn.upf
Br 79.90 Br.upf
CELL_PARAMETERS angstrom
7.183 0.000 0.000
0.000 10.870 0.000
0.000 0.000 4.757
ATOMIC_POSITIONS crystal
Ga 0.000 0.000 0.000
Ga 0.000 0.500 0.500
Ga 0.500 0.000 0.000
Ga 0.500 0.500 0.500
Sn 0.250 0.177 0.874
Sn 0.250 0.323 0.374
Sn 0.750 0.677 0.374
Sn 0.750 0.823 0.874
Br 0.250 0.598 0.853
Br 0.250 0.902 0.353
Br 0.750 0.098 0.353
Br 0.750 0.402 0.853
```

## Properties
symmetry: Ima2 (46)
D(E_F): 0.22 states/eV per cell
crystal system: orthorhombic



Most stable structure, least stable structure: #three, #one.



#one
VASP calculation (PBE) on crystalline GaSnBr2 at its relaxed geometry. Values from VASP.

```
&SYSTEM
  ibrav = 0, nat = 12, ntyp = 3
/
ATOMIC_SPECIES
Ga 69.72 Ga.upf
Sn 118.71 Sn.upf
Br 79.90 Br.upf
CELL_PARAMETERS angstrom
3.817 0.000 0.000
-1.909 3.306 0.000
0.000 0.000 29.286
ATOMIC_POSITIONS crystal
Ga 0.000 0.000 0.000
Ga 0.333 0.667 0.667
Ga 0.667 0.333 0.333
Sn 0.000 0.000 0.500
Sn 0.333 0.667 0.167
Sn 0.667 0.333 0.833
Br 0.000 0.000 0.403
Br 0.000 0.000 0.597
Br 0.333 0.667 0.069
Br 0.333 0.667 0.264
Br 0.667 0.333 0.736
Br 0.667 0.333 0.931
```

## Properties
symmetry: R-3m (166)
D(E_F): 3.94 states/eV per cell
crystal system: trigonal



#two
VASP calculation (PBE) on crystalline GaSnBr2 at its relaxed geometry. Values from VASP.

```
&SYSTEM
  ibrav = 0, nat = 16, ntyp = 3
/
ATOMIC_SPECIES
Ga 69.72 Ga.upf
Sn 118.71 Sn.upf
Br 79.90 Br.upf
CELL_PARAMETERS angstrom
7.248 0.000 0.000
0.000 7.248 0.000
0.000 0.000 13.153
ATOMIC_POSITIONS crystal
Ga 0.000 0.000 0.000
Ga 0.000 0.500 0.250
Ga 0.500 0.000 0.750
Ga 0.500 0.500 0.500
Sn 0.000 0.000 0.500
Sn 0.000 0.500 0.750
Sn 0.500 0.000 0.250
Sn 0.500 0.500 0.000
Br 0.247 0.250 0.625
Br 0.250 0.747 0.875
Br 0.250 0.753 0.375
Br 0.253 0.250 0.125
Br 0.747 0.750 0.125
Br 0.750 0.247 0.375
Br 0.750 0.253 0.875
Br 0.753 0.750 0.625
```

## Properties
symmetry: I-42d (122)
D(E_F): 13.10 states/eV per cell
crystal system: tetragonal



#three
VASP calculation (PBE) on crystalline GaSnBr2 at its relaxed geometry. Values from VASP.

```
&SYSTEM
  ibrav = 0, nat = 16, ntyp = 3
/
ATOMIC_SPECIES
Ga 69.72 Ga.upf
Sn 118.71 Sn.upf
Br 79.90 Br.upf
CELL_PARAMETERS angstrom
7.577 0.000 0.000
0.000 7.577 0.000
0.000 0.000 7.577
ATOMIC_POSITIONS crystal
Ga 0.000 0.000 0.000
Ga 0.000 0.500 0.500
Ga 0.500 0.000 0.500
Ga 0.500 0.500 0.000
Sn 0.000 0.000 0.500
Sn 0.000 0.500 0.000
Sn 0.500 0.000 0.000
Sn 0.500 0.500 0.500
Br 0.250 0.250 0.250
Br 0.250 0.250 0.750
Br 0.250 0.750 0.250
Br 0.250 0.750 0.750
Br 0.750 0.250 0.250
Br 0.750 0.250 0.750
Br 0.750 0.750 0.250
Br 0.750 0.750 0.750
```

## Properties
symmetry: Fm-3m (225)
D(E_F): 8.01 states/eV per cell
crystal system: cubic



Most stable structure, least stable structure: #one, #two.



#one
VASP calculation (PBE) on crystalline SrGa2Br6 at its relaxed geometry. Values from VASP.

```
&SYSTEM
  ibrav = 0, nat = 9, ntyp = 3
/
ATOMIC_SPECIES
Sr 87.62 Sr.upf
Ga 69.72 Ga.upf
Br 79.90 Br.upf
CELL_PARAMETERS angstrom
3.683 2.127 8.124
-3.683 2.127 8.124
0.000 -4.253 8.124
ATOMIC_POSITIONS crystal
Sr 0.000 0.000 0.000
Ga 0.284 0.284 0.284
Ga 0.383 0.383 0.383
Br 0.141 0.370 0.747
Br 0.195 0.970 0.575
Br 0.370 0.747 0.141
Br 0.575 0.195 0.970
Br 0.747 0.141 0.370
Br 0.970 0.575 0.195
```

## Properties
symmetry: R3 (146)
D(E_F): 0.00 states/eV per cell
crystal system: trigonal



#two
VASP calculation (PBE) on crystalline SrGa2Br6 at its relaxed geometry. Values from VASP.

```
&SYSTEM
  ibrav = 0, nat = 18, ntyp = 3
/
ATOMIC_SPECIES
Sr 87.62 Sr.upf
Ga 69.72 Ga.upf
Br 79.90 Br.upf
CELL_PARAMETERS angstrom
7.589 -6.417 0.000
7.589 6.417 0.000
-1.101 0.000 7.059
ATOMIC_POSITIONS crystal
Sr 0.082 0.918 0.750
Sr 0.918 0.082 0.250
Ga 0.346 0.492 0.744
Ga 0.492 0.346 0.244
Ga 0.508 0.654 0.756
Ga 0.654 0.508 0.256
Br 0.032 0.201 0.627
Br 0.139 0.597 0.863
Br 0.201 0.032 0.127
Br 0.277 0.407 0.405
Br 0.403 0.861 0.637
Br 0.407 0.277 0.905
Br 0.593 0.723 0.095
Br 0.597 0.139 0.363
Br 0.723 0.593 0.595
Br 0.799 0.968 0.873
Br 0.861 0.403 0.137
Br 0.968 0.799 0.373
```

## Properties
symmetry: C2/c (15)
D(E_F): 0.00 states/eV per cell
crystal system: monoclinic



Most stable structure, least stable structure: #one, #two.



#one
VASP calculation (PBE) on crystalline TaGaBr2 at its relaxed geometry. Values from VASP.

```
&SYSTEM
  ibrav = 0, nat = 12, ntyp = 3
/
ATOMIC_SPECIES
Ta 180.95 Ta.upf
Ga 69.72 Ga.upf
Br 79.90 Br.upf
CELL_PARAMETERS angstrom
3.276 0.000 0.000
-1.638 2.838 0.000
0.000 0.000 30.567
ATOMIC_POSITIONS crystal
Ta 0.000 0.000 0.000
Ta 0.333 0.667 0.667
Ta 0.667 0.333 0.333
Ga 0.000 0.000 0.500
Ga 0.333 0.667 0.167
Ga 0.667 0.333 0.833
Br 0.000 0.000 0.396
Br 0.000 0.000 0.604
Br 0.333 0.667 0.063
Br 0.333 0.667 0.270
Br 0.667 0.333 0.730
Br 0.667 0.333 0.937
```

## Properties
symmetry: R-3m (166)
D(E_F): 4.11 states/eV per cell
crystal system: trigonal



#two
VASP calculation (PBE) on crystalline TaGaBr2 at its relaxed geometry. Values from VASP.

```
&SYSTEM
  ibrav = 0, nat = 16, ntyp = 3
/
ATOMIC_SPECIES
Ta 180.95 Ta.upf
Ga 69.72 Ga.upf
Br 79.90 Br.upf
CELL_PARAMETERS angstrom
6.814 0.000 0.000
0.000 6.814 0.000
0.000 0.000 6.814
ATOMIC_POSITIONS crystal
Ta 0.000 0.000 0.000
Ta 0.000 0.500 0.500
Ta 0.500 0.000 0.500
Ta 0.500 0.500 0.000
Ga 0.000 0.000 0.500
Ga 0.000 0.500 0.000
Ga 0.500 0.000 0.000
Ga 0.500 0.500 0.500
Br 0.250 0.250 0.250
Br 0.250 0.250 0.750
Br 0.250 0.750 0.250
Br 0.250 0.750 0.750
Br 0.750 0.250 0.250
Br 0.750 0.250 0.750
Br 0.750 0.750 0.250
Br 0.750 0.750 0.750
```

## Properties
symmetry: Fm-3m (225)
D(E_F): 9.57 states/eV per cell
crystal system: cubic



#three
VASP calculation (PBE) on crystalline TaGaBr2 at its relaxed geometry. Values from VASP.

```
&SYSTEM
  ibrav = 0, nat = 16, ntyp = 3
/
ATOMIC_SPECIES
Ta 180.95 Ta.upf
Ga 69.72 Ga.upf
Br 79.90 Br.upf
CELL_PARAMETERS angstrom
9.240 0.000 0.000
0.000 9.240 0.000
0.000 0.000 5.396
ATOMIC_POSITIONS crystal
Ta 0.000 0.000 0.000
Ta 0.000 0.500 0.250
Ta 0.500 0.000 0.750
Ta 0.500 0.500 0.500
Ga 0.000 0.000 0.500
Ga 0.000 0.500 0.750
Ga 0.500 0.000 0.250
Ga 0.500 0.500 0.000
Br 0.109 0.250 0.125
Br 0.250 0.609 0.375
Br 0.250 0.891 0.875
Br 0.391 0.250 0.625
Br 0.609 0.750 0.625
Br 0.750 0.109 0.875
Br 0.750 0.391 0.375
Br 0.891 0.750 0.125
```

## Properties
symmetry: I-42d (122)
D(E_F): 12.92 states/eV per cell
crystal system: tetragonal



Most stable structure, least stable structure: #one, #two.